(1)
DFT (PBE) results for an optimized crystal structure of YMoCl2.

Results
* formation energy without anion corrections: -0.07 eV/atom
* VASP energy: -5.321 eV/atom

Cell: 4.5824 4.5824 3.5787 Å, 90.00 90.00 90.00°
With the nearest neighbours (Å) after each atom.
Space group P4/mmm (No. 123)
Symmetry-distinct sites (fractional):
1 Y 0.0000 0.0000 0.0000  8 Cl 2.91, 4 Mo 3.24
2 Mo 0.5000 0.5000 0.0000  8 Cl 2.91, 4 Y 3.24
3 Cl 0.0000 0.5000 0.5000  4 Mo 2.91, 4 Y 2.91, 4 Cl 3.24

(2)
DFT (PBE) results for an optimized crystal structure of Hf4PtS.

Results
* formation energy without anion corrections: -0.66 eV/atom
* VASP energy: -8.993 eV/atom

Cell: 13.5414 3.3638 6.0065 Å, 90.00 115.87 90.00°
With the nearest neighbours (Å) after each atom.
Space group C2/m (No. 12)
Symmetry-distinct sites (fractional):
1 Hf 0.1505 0.0000 0.3183  2 S 2.69, 1 Pt 2.70
2 Hf 0.1537 0.5000 0.8177  2 Pt 2.71, 1 S 2.74
3 Pt 0.0000 0.0000 0.5000  6 Hf 2.70-2.71
4 S 0.0000 0.5000 0.0000  6 Hf 2.69-2.74

(3)
DFT (PBE) results for an optimized crystal structure of Nd6Si2AuBr3.

Results
* formation energy without anion corrections: -1.03 eV/atom
* VASP energy: -5.007 eV/atom

Cell: 19.0508 4.2503 8.8969 Å, 90.00 104.18 90.00°
With the nearest neighbours (Å) after each atom.
Space group C2/m (No. 12)
Symmetry-distinct sites (fractional):
1 Nd 0.0093 0.0000 0.2361  1 Si 2.91, 2 Au 2.96, 2 Br 3.20
2 Nd 0.1637 0.5000 0.1101  2 Si 2.91, 1 Au 3.03, 1 Br 3.12
3 Nd 0.1751 0.5000 0.5642  3 Si 2.92, 3 Br 3.22-3.24
4 Si 0.1668 0.0000 0.3356  6 Nd 2.91-2.92
5 Au 0.0000 0.5000 0.0000  6 Nd 2.96-3.03
6 Br 0.0000 0.5000 0.5000  6 Nd 3.20-3.24
7 Br 0.1681 0.0000 0.8321  6 Nd 3.12-3.28